Computed, not measured: a relaxed GaCo2TcAu crystal at the PBE level of DFT.

Structure (POSCAR):
```
GaCo2TcAu
1.0
-1.681 0.525 3.997
1.717 -3.825 1.225
4.356 2.440 1.511
Co Tc Ga Au
2 1 1 1
direct
0.500 0.000 0.000
0.000 0.500 0.000
0.000 0.000 0.000
0.500 0.500 0.500
0.000 0.000 0.500
```

Energy of formation ... 6.3 eV/f.u.
Calculated total energy ... -4.923 eV per atom
Total magnetic moment ... 1.70 Bohr magnetons per cell


Computed, not measured: a relaxed Ga2CoTcAu crystal at the PBE level of DFT.

Structure (POSCAR):
```
Ga2CoTcAu
1.0
4.371 0.000 0.000
0.000 4.910 0.000
0.000 0.000 4.371
Ga Tc Au Co
2 1 1 1
direct
0.500 0.000 0.000
0.000 0.000 0.500
0.500 0.500 0.500
0.000 0.500 0.000
0.000 0.000 0.000
```

Energy of formation ... 3.7 eV/f.u.
Calculated total energy ... -4.625 eV per atom
Total magnetic moment ... 3.47 Bohr magnetons per cell